VASP calculation (PBE) on a relaxed KPtI crystal.

Results
For the excess energy over the best structure of this formula in the dataset, the calculation gives 166 meV/atom. As for the total moment: 0.000 μB/f.u. For the uncorrected formation energy, the calculation gives -392 meV per atom.

Cell: 4.6343 4.6343 4.9576 Å, 90.00 90.00 120.00°
Space group P-6m2 (No. 187)
Symmetry-distinct sites (fractional):
K (0.0000, 0.0000, 0.0000) [1 per cell]
Pt (0.6667, 0.3333, 0.5000) [1 per cell]
I (0.3333, 0.6667, 0.5000) [1 per cell]



VASP calculation (PBE) on a relaxed KPtI crystal.

Results
For the excess energy over the best structure of this formula in the dataset, the calculation gives 0 meV/atom. As for the total moment: 0.000 μB/f.u. For the uncorrected formation energy, the calculation gives -557 meV per atom.

Cell: 13.247 3.953 7.539 Å, 90.00 94.46 90.00°
Space group C2/m (No. 12)
Symmetry-distinct sites (fractional):
K (0.109, 0.000, 0.272) [4 per cell]
Pt (0.210, 0.000, 0.902) [4 per cell]
I (0.121, 0.500, 0.698) [4 per cell]



VASP calculation (PBE) on a relaxed KPtI crystal.

Results
For the excess energy over the best structure of this formula in the dataset, the calculation gives 428 meV/atom. As for the total moment: 0.000 μB/f.u. For the uncorrected formation energy, the calculation gives -129 meV per atom.

Cell: 5.729 5.729 6.010 Å, 90.00 90.00 90.00°
Space group P4/nmm (No. 129, origin choice 2)
Symmetry-distinct sites (fractional):
K (0.250, 0.250, 0.003) [2 per cell]
Pt (0.250, 0.250, 0.502) [2 per cell]
I (0.250, 0.750, 0.500) [2 per cell]



VASP calculation (PBE) on a relaxed KPtI4 crystal.

Results
For the excess energy over the best structure of this formula in the dataset, the calculation gives 0 meV/atom. As for the total moment: 0.000 μB/f.u. For the uncorrected formation energy, the calculation gives -514 meV per atom.

Cell: 17.026 7.188 7.911 Å, 90.00 102.24 90.00°
Space group C2/c (No. 15)
Symmetry-distinct sites (fractional):
K (0.000, 0.187, 0.250) [4 per cell]
Pt (0.250, 0.250, 0.000) [4 per cell]
I (0.093, 0.334, 0.910) [8 per cell]
I (0.213, 0.062, 0.284) [8 per cell]



VASP calculation (PBE) on a relaxed KPtI crystal.

Results
For the excess energy over the best structure of this formula in the dataset, the calculation gives 165 meV/atom. As for the total moment: 0.000 μB/f.u. For the uncorrected formation energy, the calculation gives -392 meV per atom.

Cell: 4.6329 4.6329 9.9241 Å, 90.00 90.00 120.00°
Space group P6_3/mmc (No. 194)
Symmetry-distinct sites (fractional):
K (0.0000, 0.0000, 0.0000) [2 per cell]
Pt (0.3333, 0.6667, 0.2500) [2 per cell]
I (0.3333, 0.6667, 0.7500) [2 per cell]



VASP calculation (PBE) on a relaxed K4PtI2 crystal.

Results
As for the total moment: 0.000 μB/f.u. For the uncorrected formation energy, the calculation gives -778 meV per atom.

Cell: 6.013 6.013 18.279 Å, 90.00 90.00 90.00°
Space group I4/mmm (No. 139)
Symmetry-distinct sites (fractional):
K (0.000, 0.000, 0.168) [4 per cell]
K (0.000, 0.500, 0.000) [4 per cell]
Pt (0.000, 0.000, 0.000) [2 per cell]
I (0.000, 0.000, 0.358) [4 per cell]



VASP calculation (PBE) on a relaxed KPt3I crystal.

Results
For the excess energy over the best structure of this formula in the dataset, the calculation gives 1405 meV/atom. As for the total moment: 0.000 μB/f.u. For the uncorrected formation energy, the calculation gives 1985 meV per atom.

Cell: 5.088 5.088 5.088 Å, 90.00 90.00 90.00°
Space group Pm-3m (No. 221)
Symmetry-distinct sites (fractional):
K (0.000, 0.000, 0.000) [1 per cell]
Pt (0.000, 0.000, 0.500) [3 per cell]
I (0.500, 0.500, 0.500) [1 per cell]



VASP calculation (PBE) on a relaxed KPt3I crystal.

Results
For the excess energy over the best structure of this formula in the dataset, the calculation gives 0 meV/atom. As for the total moment: 0.000 μB/f.u. For the uncorrected formation energy, the calculation gives 580 meV per atom.

Cell: 5.087 5.087 5.087 Å, 90.00 90.00 90.00°
Space group Pm-3m (No. 221)
Symmetry-distinct sites (fractional):
K (0.000, 0.000, 0.000) [1 per cell]
Pt (0.000, 0.500, 0.500) [3 per cell]
I (0.500, 0.500, 0.500) [1 per cell]